5
Lattice="-3.611 -0.480 -0.059 0.390 -3.152 1.784 -0.417 2.569 4.630" Properties=species:S:1:pos:R:3 comment="SCAN RuCSeN2, PBEsol geometry" e_tot_ev_per_atom=-14.89 dos_at_fermi_per_ev_cell=2.63 crystal_system=tetragonal formation_energy_uncorrected_ev_per_atom=1.8256 pbc="T T T"
Ru 0.000 0.000 0.000
C -1.819 -0.532 3.177
Se -0.208 1.284 2.315
N 0.195 -1.576 0.892
N -1.805 -0.240 -0.029

5
Lattice="-0.427 3.283 -1.122 -3.467 -0.365 0.250 0.124 1.208 3.487" Properties=species:S:1:pos:R:3 comment="SCAN TcCSN2, PBEsol geometry" e_tot_ev_per_atom=-12.54 dos_at_fermi_per_ev_cell=2.09 crystal_system=tetragonal formation_energy_uncorrected_ev_per_atom=2.1337 pbc="T T T"
C 0.000 0.000 0.000
S 0.062 0.604 1.744
Tc -1.885 2.062 1.308
N -1.734 -0.183 0.125
N -0.213 1.641 -0.561

5
Lattice="3.713 0.000 0.000 0.000 3.713 0.000 0.000 0.000 4.079" Properties=species:S:1:pos:R:3 comment="SCAN TlCSN2, PBEsol geometry" e_tot_ev_per_atom=-19.86 dos_at_fermi_per_ev_cell=1.61 crystal_system=tetragonal formation_energy_uncorrected_ev_per_atom=2.2774 pbc="T T T"
C 0.000 0.000 0.000
Tl 1.857 1.857 2.039
S 0.000 0.000 2.039
N 0.000 1.857 0.000
N 1.857 0.000 0.000

16
Lattice="-3.046 5.681 -1.673 -5.498 -1.960 3.354 2.577 3.171 6.077" Properties=species:S:1:pos:R:3 comment="SCAN TlCSN, PBEsol geometry" e_tot_ev_per_atom=-25.34 dos_at_fermi_per_ev_cell=0.00 crystal_system=orthorhombic formation_energy_uncorrected_ev_per_atom=0.0087 pbc="T T T"
Tl -3.887 3.690 -0.277
Tl -4.656 0.032 1.958
Tl -3.368 1.617 4.996
Tl -2.599 5.275 2.762
C -5.800 3.761 2.703
C -0.167 3.132 5.055
C -1.626 1.865 1.922
C -4.341 5.027 5.836
S -6.185 2.433 3.559
S 0.218 4.460 4.199
S -0.169 1.194 1.655
S -5.797 5.699 6.103
N -5.508 4.732 2.073
N -0.458 2.161 5.685
N -2.698 2.350 2.124
N -3.269 4.543 5.634

28
Lattice="-1.091 -6.775 3.270 7.162 -0.006 3.654 -1.821 1.470 10.362" Properties=species:S:1:pos:R:3 comment="SCAN ZnC2S2N2, PBEsol geometry" e_tot_ev_per_atom=-10.22 dos_at_fermi_per_ev_cell=0.00 crystal_system=triclinic formation_energy_uncorrected_ev_per_atom=0.0045 pbc="T T T"
Zn 0.658 -3.510 12.318
Zn -0.930 -4.830 6.006
Zn 5.180 -0.482 11.280
Zn 3.592 -1.802 4.968
C 0.077 -3.723 3.436
C 2.514 -4.687 14.516
C 0.657 0.897 7.355
C 1.696 -3.524 6.699
C 1.736 -0.625 2.770
C 3.593 -6.208 9.931
C 4.173 -1.589 13.849
C 2.554 -1.788 10.586
S 0.599 -4.249 7.669
S 4.199 -4.978 10.819
S 0.699 -0.045 1.649
S 5.989 -3.198 8.003
S 3.550 -5.266 15.637
S -1.740 -2.114 9.283
S 3.651 -1.063 9.617
S 0.051 -0.334 6.466
N 0.027 -4.986 11.234
N 1.739 -2.317 11.248
N 2.511 -2.995 6.038
N 2.486 -1.076 3.554
N 5.106 -2.693 4.165
N 4.223 -0.326 6.052
N -0.856 -2.619 13.121
N 1.764 -4.236 13.732

5
Lattice="4.493 0.000 0.000 0.000 4.493 0.000 0.000 0.000 6.400" Properties=species:S:1:pos:R:3 comment="SCAN SrSbC2N, PBEsol geometry" e_tot_ev_per_atom=-14.32 dos_at_fermi_per_ev_cell=2.05 crystal_system=tetragonal formation_energy_uncorrected_ev_per_atom=3.4876 pbc="T T T"
Sb 0.000 0.000 3.200
C 0.000 2.247 0.000
C 2.247 0.000 0.000
N 2.247 2.247 3.200
Sr 0.000 0.000 0.000

4
Lattice="3.977 0.000 0.000 1.988 3.444 0.000 1.988 1.148 3.247" Properties=species:S:1:pos:R:3 comment="SCAN Sc2CN, PBEsol geometry" e_tot_ev_per_atom=-12.27 dos_at_fermi_per_ev_cell=2.99 crystal_system=cubic formation_energy_uncorrected_ev_per_atom=-0.3025 pbc="T T T"
Sc 1.988 1.148 0.812
Sc 5.965 3.444 2.435
C 0.000 0.000 0.000
N 3.977 2.296 1.623

4
Lattice="-0.388 2.807 -1.935 -1.018 -0.294 -3.264 -6.541 1.277 0.122" Properties=species:S:1:pos:R:3 comment="SCAN Sc2CN, PBEsol geometry" e_tot_ev_per_atom=-12.27 dos_at_fermi_per_ev_cell=0.58 crystal_system=trigonal formation_energy_uncorrected_ev_per_atom=-0.3036 pbc="T T T"
Sc -3.304 2.651 -4.620
Sc -4.644 1.140 -0.458
C -3.974 1.895 -2.539
N 0.000 0.000 0.000

5
Lattice="-1.867 -0.854 3.762 -0.254 -4.143 -1.066 3.850 -0.687 1.754" Properties=species:S:1:pos:R:3 comment="SCAN Sc3CN, PBEsol geometry" e_tot_ev_per_atom=-12.37 dos_at_fermi_per_ev_cell=3.14 crystal_system=cubic formation_energy_uncorrected_ev_per_atom=0.0460 pbc="T T T"
Sc -0.127 -2.072 -0.533
Sc 1.925 -0.344 0.877
Sc -0.933 -0.427 1.881
C 0.000 0.000 0.000
N 0.865 -2.842 2.225

5
Lattice="3.844 0.000 0.000 0.000 3.844 0.000 0.000 0.000 6.190" Properties=species:S:1:pos:R:3 comment="SCAN ScTeCN2, PBEsol geometry" e_tot_ev_per_atom=-14.21 dos_at_fermi_per_ev_cell=3.36 crystal_system=tetragonal formation_energy_uncorrected_ev_per_atom=1.8235 pbc="T T T"
Sc 0.000 0.000 0.000
C 1.922 1.922 3.095
Te 0.000 0.000 3.095
N 0.000 1.922 0.000
N 1.922 0.000 0.000

5
Lattice="-1.708 -0.840 1.729 3.839 -4.079 1.810 2.152 3.784 3.963" Properties=species:S:1:pos:R:3 comment="SCAN SnCSe2N, PBEsol geometry" e_tot_ev_per_atom=-18.35 dos_at_fermi_per_ev_cell=1.29 crystal_system=tetragonal formation_energy_uncorrected_ev_per_atom=0.7478 pbc="T T T"
C 0.000 0.000 0.000
Sn 2.142 -0.568 3.751
Se 1.076 1.892 1.981
Se 1.919 -2.040 0.905
N -0.854 -0.420 0.865

5
Lattice="-0.513 -0.993 3.405 2.217 -2.775 -0.475 3.030 2.231 1.107" Properties=species:S:1:pos:R:3 comment="SCAN TcCSeN2, PBEsol geometry" e_tot_ev_per_atom=-14.44 dos_at_fermi_per_ev_cell=1.68 crystal_system=tetragonal formation_energy_uncorrected_ev_per_atom=2.3290 pbc="T T T"
C 0.000 0.000 0.000
Tc 2.367 -0.769 2.018
Se 1.515 1.115 0.554
N 1.108 -1.388 -0.238
N -0.257 -0.497 1.702

5
Lattice="-0.390 -0.242 -4.328 1.110 -4.206 0.135 -5.522 -1.439 0.578" Properties=species:S:1:pos:R:3 comment="SCAN YCSeN2, PBEsol geometry" e_tot_ev_per_atom=-13.37 dos_at_fermi_per_ev_cell=1.17 crystal_system=tetragonal formation_energy_uncorrected_ev_per_atom=1.9538 pbc="T T T"
Y 0.000 0.000 0.000
C -2.401 -2.943 -1.808
Se -2.761 -0.720 0.289
N 0.555 -2.103 0.067
N -0.195 -0.121 -2.164

4
Lattice="3.672 0.000 0.000 1.836 3.180 0.000 1.836 1.060 2.998" Properties=species:S:1:pos:R:3 comment="SCAN Si2CN, PBEsol geometry" e_tot_ev_per_atom=-8.26 dos_at_fermi_per_ev_cell=1.67 crystal_system=cubic formation_energy_uncorrected_ev_per_atom=1.5944 pbc="T T T"
Si 1.836 1.060 0.750
Si 5.508 3.180 2.249
C 0.000 0.000 0.000
N 3.672 2.120 1.499

52
Lattice="5.920 0.000 -0.002 0.000 9.913 0.000 0.062 0.000 10.336" Properties=species:S:1:pos:R:3 comment="SCAN Tb2Si4CN6, PBEsol geometry" e_tot_ev_per_atom=-16.79 dos_at_fermi_per_ev_cell=0.00 crystal_system=monoclinic formation_energy_uncorrected_ev_per_atom=-1.4447 pbc="T T T"
Tb 1.557 0.872 0.834
Tb 4.424 9.041 9.500
Tb 1.434 5.829 4.333
Tb 4.548 4.085 6.000
Tb 1.587 9.283 4.177
Tb 4.395 0.631 6.156
Tb 1.404 4.326 0.990
Tb 4.577 5.587 9.344
Si 4.485 2.867 0.815
Si 1.497 7.047 9.518
Si 4.426 7.823 4.349
Si 1.556 2.090 5.984
Si 5.831 2.691 3.513
Si 0.151 7.222 6.821
Si 3.080 7.648 1.652
Si 2.902 2.265 8.682
Si 4.424 0.205 2.570
Si 1.558 9.708 7.763
Si 4.487 5.162 2.594
Si 1.495 4.751 7.739
Si 2.837 2.914 3.340
Si 3.145 6.999 6.993
Si 0.154 7.871 1.826
Si 5.828 2.043 8.507
C 4.329 2.068 2.535
C 1.653 7.845 7.798
C 4.582 7.025 2.629
C 1.400 2.889 7.704
N 4.982 4.530 1.051
N 1.000 5.383 9.283
N 3.929 9.487 4.114
N 2.053 0.427 6.219
N 5.564 4.415 3.759
N 0.418 5.499 6.574
N 3.347 9.371 1.405
N 2.635 0.542 8.928
N 2.863 4.609 2.887
N 3.119 5.304 7.446
N 0.128 9.566 2.279
N 5.853 0.348 8.054
N 5.933 2.051 5.138
N 0.048 7.862 5.196
N 2.977 7.008 0.027
N 3.004 2.905 10.307
N 1.362 2.354 2.611
N 4.620 7.559 7.722
N 1.629 7.311 2.556
N 4.353 2.602 7.778
N 2.824 2.812 5.061
N 3.158 7.101 5.272
N 0.167 7.769 0.106
N 5.815 2.144 10.228

52
Lattice="-5.481 -1.519 1.606 1.568 -9.192 -3.346 3.450 -2.799 9.305" Properties=species:S:1:pos:R:3 comment="SCAN Y2Si4CN6, PBEsol geometry" e_tot_ev_per_atom=-13.89 dos_at_fermi_per_ev_cell=0.00 crystal_system=monoclinic formation_energy_uncorrected_ev_per_atom=-1.4624 pbc="T T T"
C -2.900 -4.557 2.623
C -1.901 -9.068 0.817
C 2.436 -8.953 4.942
C 1.437 -4.442 6.747
N 0.210 -2.030 -0.579
N 0.227 -8.645 2.935
N -0.674 -11.480 8.144
N -0.691 -4.865 4.630
N -2.168 -2.520 4.627
N -3.409 -6.557 0.469
N 1.704 -10.990 2.938
N 2.945 -6.953 7.096
N 0.705 -0.976 1.993
N -0.828 -6.417 1.557
N -1.169 -12.534 5.571
N 0.364 -7.093 6.008
N -2.304 -3.443 -0.151
N -2.498 -10.177 3.593
N 1.840 -10.068 7.716
N 2.034 -3.333 3.971
N -0.239 -3.517 1.861
N 0.829 -8.057 0.167
N -0.225 -9.993 5.703
N -1.293 -5.453 7.398
N -2.550 -1.730 1.992
N -2.995 -7.526 3.039
N 2.087 -11.780 5.573
N 2.532 -5.984 4.526
Si -2.520 -6.248 1.936
Si -1.691 -10.831 0.247
Si 2.056 -7.262 5.628
Si 1.228 -2.679 7.318
Si -2.292 -4.256 4.398
Si -2.757 -7.917 -0.429
Si 1.828 -9.255 3.166
Si 2.293 -5.594 7.994
Si 0.793 -2.418 0.998
Si -0.382 -8.108 1.412
Si -1.257 -11.092 6.567
Si -0.082 -5.402 6.153
Si -1.941 -3.326 1.554
Si -3.059 -9.131 2.312
Si 1.477 -10.185 6.010
Si 2.595 -4.380 5.253
Y -0.073 -5.828 -0.637
Y 0.049 -2.147 3.975
Y -0.391 -7.682 8.201
Y -0.512 -11.363 3.590
Y 0.791 -5.323 2.893
Y 0.271 -9.016 -1.871
Y -1.255 -8.187 4.672
Y -0.734 -4.494 9.436

4
Lattice="3.813 0.000 0.000 1.906 3.302 0.000 1.906 1.101 5.041" Properties=species:S:1:pos:R:3 comment="SCAN SnCN2, PBEsol geometry" e_tot_ev_per_atom=-15.90 crystal_system=trigonal formation_energy_uncorrected_ev_per_atom=0.2534 pbc="T T T"
C 0.000 0.000 0.000
Sn 3.813 2.201 2.520
N 5.719 3.302 1.239
N 1.906 1.101 3.802

8
Lattice="-3.710 -1.044 -0.059 2.750 -2.622 -0.649 0.406 -2.000 9.793" Properties=species:S:1:pos:R:3 comment="SCAN SnCN2, PBEsol geometry" e_tot_ev_per_atom=-15.88 dos_at_fermi_per_ev_cell=0.33 crystal_system=hexagonal formation_energy_uncorrected_ev_per_atom=0.2710 pbc="T T T"
C 0.901 -3.595 6.892
C -1.455 -2.069 2.192
Sn 0.000 0.000 0.000
Sn 0.203 -1.000 4.897
N 0.951 -3.843 8.104
N -1.505 -1.822 0.980
N -1.405 -2.317 3.404
N 0.851 -3.348 5.680

16
Lattice="3.932 0.000 0.000 0.000 5.399 0.000 0.000 0.000 12.350" Properties=species:S:1:pos:R:3 comment="SCAN SrCN2, PBEsol geometry" e_tot_ev_per_atom=-13.74 dos_at_fermi_per_ev_cell=0.00 crystal_system=orthorhombic formation_energy_uncorrected_ev_per_atom=-1.0004 pbc="T T T"
C 2.949 4.775 4.656
C 0.983 2.076 1.518
C 0.983 0.624 7.693
C 2.949 3.323 10.831
N 2.949 0.455 4.045
N 0.983 3.154 2.130
N 0.983 4.944 8.305
N 2.949 2.245 10.220
N 2.949 3.679 5.229
N 0.983 0.980 0.946
N 0.983 1.720 7.121
N 2.949 4.419 11.403
Sr 2.949 4.787 1.618
Sr 0.983 2.088 4.557
Sr 0.983 0.612 10.732
Sr 2.949 3.311 7.793